Entry from Alexandria: Pr2Sm12Th after structural relaxation (PBE).

Calculated values
Its space-group type is Cmme. As for the electronic total energy: -142.2 eV per cell.

The structure in POSCAR format:
```
Pr2Sm12Th
1.0
6.636 1.591 0.000
1.591 6.636 0.000
0.000 0.000 25.092
Sm Pr Th
24 4 2
direct
0.500 0.500 0.801 Sm
0.774 0.274 0.560 Sm
0.000 0.000 0.673 Sm
0.500 0.500 0.673 Sm
0.500 0.500 0.199 Sm
0.726 0.226 0.440 Sm
0.751 0.749 0.876 Sm
0.226 0.726 0.560 Sm
0.269 0.231 0.582 Sm
0.000 0.000 0.199 Sm
0.248 0.748 0.075 Sm
0.749 0.751 0.124 Sm
0.249 0.251 0.876 Sm
0.752 0.252 0.075 Sm
0.000 0.000 0.327 Sm
0.231 0.269 0.418 Sm
0.748 0.248 0.925 Sm
0.274 0.774 0.440 Sm
0.252 0.752 0.925 Sm
0.731 0.769 0.582 Sm
0.500 0.500 0.327 Sm
0.251 0.249 0.124 Sm
0.000 0.000 0.801 Sm
0.769 0.731 0.418 Sm
0.000 0.500 0.726 Pr
0.000 0.500 0.266 Pr
0.500 0.000 0.734 Pr
0.500 0.000 0.274 Pr
0.000 0.500 0.999 Th
0.500 0.000 0.001 Th
```


Entry from Alexandria: PrSmTh after structural relaxation (PBE).

Calculated values
Its space-group type is Aem2. The value obtained for the polymorph energy (0 for the lowest one) is 0.0 kJ/mol of atoms. As for the electronic total energy: -33.7 eV per cell.

The structure in POSCAR format:
```
PrSmTh
1.0
-1.158 -3.330 0.888
0.672 -1.137 -3.386
14.402 -3.899 4.166
Pr Th Sm
2 2 2
direct
0.818 0.818 0.337 Pr
0.317 0.317 0.166 Pr
0.818 0.818 0.674 Th
0.318 0.318 0.829 Th
0.818 0.818 0.991 Sm
0.318 0.318 0.512 Sm
```


Entry from Alexandria: PrSm2Th after structural relaxation (PBE).

Calculated values
Its space-group type is Fm-3m. The value obtained for the polymorph energy (0 for the lowest one) is 15.1 kJ/mol of atoms. As for the electronic total energy: -20.9 eV per cell.

The structure in POSCAR format:
```
PrSm2Th
1.0
-0.539 3.175 4.790
-2.483 -2.260 4.695
3.195 -1.224 4.648
Th Sm Pr
1 2 1
direct
0.000 0.000 0.000 Th
0.250 0.250 0.250 Sm
0.750 0.750 0.750 Sm
0.500 0.500 0.500 Pr
```


Entry from Alexandria: Pr3Sm8Th3 after structural relaxation (PBE).

Calculated values
Its space-group type is Immm. As for the electronic total energy: -71.9 eV per cell.

The structure in POSCAR format:
```
Pr3Sm8Th3
1.0
-4.164 -2.331 3.134
3.778 -7.609 4.559
-0.084 4.571 8.489
Th Sm Pr
3 8 3
direct
0.000 0.850 0.150 Th
0.500 0.000 0.000 Th
0.000 0.150 0.850 Th
0.137 0.481 0.245 Sm
0.863 0.755 0.519 Sm
0.863 0.519 0.755 Sm
0.361 0.896 0.382 Sm
0.639 0.618 0.104 Sm
0.361 0.382 0.896 Sm
0.639 0.104 0.618 Sm
0.137 0.245 0.481 Sm
0.500 0.500 0.500 Pr
0.781 0.219 0.219 Pr
0.219 0.781 0.781 Pr
```


Entry from Alexandria: PrSm4Th2 after structural relaxation (PBE).

Calculated values
Its space-group type is I4/mmm. The value obtained for the polymorph energy (0 for the lowest one) is 69.8 kJ/mol of atoms. As for the electronic total energy: -33.0 eV per cell.

The structure in POSCAR format:
```
PrSm4Th2
1.0
5.763 0.000 0.000
0.000 5.763 0.000
-2.881 -2.881 8.256
Sm Pr Th
4 1 2
direct
0.815 0.815 0.630 Sm
0.000 0.500 0.000 Sm
0.185 0.185 0.370 Sm
0.500 0.000 0.000 Sm
0.000 0.000 0.000 Pr
0.391 0.391 0.782 Th
0.609 0.609 0.218 Th
```


Entry from Alexandria: Pr2Sm4Th3 after structural relaxation (PBE).

Calculated values
Its space-group type is P3m1. As for the electronic total energy: -49.9 eV per cell.

The structure in POSCAR format:
```
Pr2Sm4Th3
1.0
-2.866 -1.536 1.556
0.583 -0.434 -3.530
14.749 -22.283 5.177
Th Sm Pr
3 4 2
direct
0.667 0.333 0.652 Th
0.000 0.000 0.324 Th
0.000 0.000 0.983 Th
0.000 0.000 0.759 Sm
0.667 0.333 0.219 Sm
0.000 0.000 0.543 Sm
0.667 0.333 0.433 Sm
0.667 0.333 0.873 Pr
0.667 0.333 0.091 Pr
```


Entry from Alexandria: Pr2Sm8Th after structural relaxation (PBE).

Calculated values
Its space-group type is C2/m. The value obtained for the polymorph energy (0 for the lowest one) is 0.0 kJ/mol of atoms. As for the electronic total energy: -54.4 eV per cell.

The structure in POSCAR format:
```
Pr2Sm8Th
1.0
0.944 -1.956 -4.665
-3.175 -7.127 2.346
-7.609 5.790 -1.129
Pr Sm Th
2 8 1
direct
0.228 0.637 0.456 Pr
0.772 0.363 0.544 Pr
0.134 0.176 0.267 Sm
0.679 0.908 0.358 Sm
0.411 0.550 0.821 Sm
0.956 0.266 0.912 Sm
0.866 0.824 0.733 Sm
0.321 0.092 0.642 Sm
0.044 0.734 0.088 Sm
0.589 0.450 0.179 Sm
0.500 0.000 0.000 Th
```


Entry from Alexandria: PrSm4Th2 after structural relaxation (PBE).

Calculated values
Its space-group type is P1. The value obtained for the polymorph energy (0 for the lowest one) is 0.0 kJ/mol of atoms. As for the electronic total energy: -38.1 eV per cell.

The structure in POSCAR format:
```
PrSm4Th2
1.0
-1.006 -5.180 3.444
-6.388 -3.084 -6.430
5.864 -1.167 1.830
Th Sm Pr
2 4 1
direct
0.775 0.504 0.723 Th
0.508 0.069 0.422 Th
0.361 0.354 0.284 Sm
0.220 0.636 0.125 Sm
0.644 0.785 0.570 Sm
0.925 0.218 0.859 Sm
0.066 0.934 0.016 Pr
```


Entry from Alexandria: Pr4Sm4Th after structural relaxation (PBE).

Calculated values
Its space-group type is I4/mmm. As for the electronic total energy: -45.1 eV per cell.

The structure in POSCAR format:
```
Pr4Sm4Th
1.0
-4.857 1.854 0.158
-3.008 0.064 -7.609
-5.143 -6.269 1.091
Pr Th Sm
4 1 4
direct
0.337 0.000 0.326 Pr
0.663 0.000 0.674 Pr
0.663 0.674 0.000 Pr
0.337 0.326 0.000 Pr
0.000 0.000 0.000 Th
0.000 0.331 0.669 Sm
0.669 0.331 0.331 Sm
0.000 0.669 0.331 Sm
0.331 0.669 0.669 Sm
```


Entry from Alexandria: Pr5Sm3Th2 after structural relaxation (PBE).

Calculated values
Its space-group type is C2/c. As for the electronic total energy: -101.6 eV per cell.

The structure in POSCAR format:
```
Pr5Sm3Th2
1.0
-5.275 -7.555 -4.388
4.739 -4.074 -8.049
3.560 0.965 10.611
Pr Sm Th
10 6 4
direct
0.377 0.128 0.753 Pr
0.124 0.374 0.247 Pr
0.487 0.737 0.475 Pr
0.623 0.872 0.247 Pr
0.723 0.473 0.947 Pr
0.513 0.263 0.525 Pr
0.974 0.224 0.449 Pr
0.277 0.527 0.053 Pr
0.026 0.776 0.551 Pr
0.876 0.626 0.753 Pr
0.764 0.014 0.029 Sm
0.274 0.527 0.750 Sm
0.236 0.986 0.971 Sm
0.726 0.473 0.250 Sm
0.024 0.777 0.250 Sm
0.976 0.223 0.750 Sm
0.531 0.277 0.248 Th
0.217 0.971 0.248 Th
0.469 0.723 0.752 Th
0.783 0.029 0.752 Th
```


Entry from Alexandria: Pr2Sm6Th after structural relaxation (PBE).

Calculated values
Its space-group type is C2/m. The value obtained for the polymorph energy (0 for the lowest one) is 0.0 kJ/mol of atoms. As for the electronic total energy: -44.8 eV per cell.

The structure in POSCAR format:
```
Pr2Sm6Th
1.0
3.526 0.465 0.195
-0.910 8.793 -4.531
3.030 -0.071 10.143
Sm Pr Th
6 2 1
direct
0.169 0.330 0.330 Sm
0.831 0.000 0.670 Sm
0.500 0.670 0.000 Sm
0.831 0.670 0.670 Sm
0.169 0.000 0.330 Sm
0.500 0.330 0.000 Sm
0.334 0.333 0.666 Pr
0.666 0.667 0.334 Pr
0.000 0.000 0.000 Th
```


Entry from Alexandria: Pr3Sm4Th2 after structural relaxation (PBE).

Calculated values
Its space-group type is P-1. As for the electronic total energy: -94.9 eV per cell.

The structure in POSCAR format:
```
Pr3Sm4Th2
1.0
1.123 1.231 -6.982
6.865 -4.968 -1.632
-6.006 -10.545 6.372
Pr Sm Th
6 8 4
direct
0.751 0.503 0.506 Pr
0.133 0.829 0.271 Pr
0.480 0.830 0.949 Pr
0.249 0.497 0.494 Pr
0.867 0.171 0.729 Pr
0.520 0.170 0.051 Pr
0.620 0.832 0.264 Sm
0.380 0.168 0.736 Sm
0.333 0.476 0.163 Sm
0.030 0.166 0.058 Sm
0.970 0.834 0.942 Sm
0.958 0.158 0.394 Sm
0.667 0.524 0.837 Sm
0.042 0.842 0.606 Sm
0.443 0.159 0.389 Th
0.169 0.528 0.840 Th
0.557 0.841 0.611 Th
0.831 0.472 0.160 Th
```


no.,formation enthalpy at 0 K (meV per atom)
1,166
2,23
3,176
4,175
5,778
6,84
7,27
8,55
9,35
10,208
11,56
12,66